Density functional theory data (meta-GGA SCAN) for a PBEsol-optimized structure of Cr3AsO.

Cell lengths 4.679, 4.679, 4.679 Å; angles 90.00, 90.00, 90.00 degrees
Sites, in units of the cell vectors:
Cr1 0.000 0.000 0.500
Cr2 0.000 0.500 0.000
Cr3 0.500 0.000 0.000
As1 0.000 0.000 0.000
O1 0.500 0.500 0.500

Computed properties:
Formation energy without anion corrections in eV per atom: 0.6505
Crystal system: cubic
Polymorph energy (0 for the lowest one) in meV/atom: 998
D(E_F) in states/eV/f.u.: 1.9
Size of the total moment in Bohr magnetons per cell: 13.0



Density functional theory data (meta-GGA SCAN) for a PBEsol-optimized structure of CrAsP2O.

Cell lengths 4.729, 4.729, 3.567 Å; angles 90.00, 90.00, 90.00 degrees
Sites, in units of the cell vectors:
Cr1 0.000 0.000 0.000
As1 0.500 0.500 0.500
P1 0.000 0.500 0.500
P2 0.500 0.000 0.500
O1 0.500 0.500 0.000

Computed properties:
Formation energy without anion corrections in eV per atom: 0.3546
Crystal system: tetragonal
D(E_F) in states/eV/f.u.: 2.9
Size of the total moment in Bohr magnetons per cell: 3.2



Density functional theory data (meta-GGA SCAN) for a PBEsol-optimized structure of CrAs2Os.

Cell lengths 6.939, 6.939, 6.939 Å; angles 135.11, 135.11, 65.36 degrees
Sites, in units of the cell vectors:
Cr1 0.000 0.000 0.000
Cr2 0.750 0.250 0.500
As1 0.133 0.625 0.008
As2 0.375 0.383 0.508
As3 0.617 0.125 0.992
As4 0.875 0.867 0.492
Os1 0.250 0.750 0.500
Os2 0.500 0.500 0.000

Computed properties:
Crystal system: tetragonal
Energy relative to the elements in meV per atom: 281
Polymorph energy (0 for the lowest one) in meV/atom: 141
D(E_F) in states/eV/f.u.: 2.1
Size of the total moment in Bohr magnetons per cell: 6.0



Density functional theory data (meta-GGA SCAN) for a PBEsol-optimized structure of Cr2AsOs.

Cell lengths 3.745, 3.745, 3.720 Å; angles 90.00, 90.00, 90.00 degrees
Sites, in units of the cell vectors:
Cr1 0.000 0.500 0.000
Cr2 0.500 0.000 0.000
As1 0.000 0.000 0.500
Os1 0.500 0.500 0.500

Computed properties:
Crystal system: tetragonal
Energy relative to the elements in meV per atom: 132
D(E_F) in states/eV/f.u.: 3.2
Size of the total moment in Bohr magnetons per cell: 5.9